1.
An optimized crystal structure of HoPaTcRh. Source: Alexandria, functional GGA-PBE.

Calculated values
magnetic moment	0.00	Bohr magnetons per cell
energy of formation from the pure elements	-0.44	eV/atom

Lattice parameters (Å, degrees): 4.8517 4.8517 4.8517 60.00 60.00 60.00
With the nearest neighbours (Å) after each atom.
Element x y z (fractional)
Pa  0.2500  0.2500  0.2500  4 Tc 2.97, 4 Rh 2.97
Rh  0.0000  0.0000  0.0000  4 Pa 2.97, 4 Ho 2.97
Ho  0.7500  0.7500  0.7500  4 Rh 2.97, 4 Tc 2.97
Tc  0.5000  0.5000  0.5000  4 Pa 2.97, 4 Ho 2.97


2.
An optimized crystal structure of HoTmPa2Rh4. Source: Alexandria, functional GGA-PBE.

Calculated values
magnetic moment	0.00	Bohr magnetons per cell
energy of formation from the pure elements	-0.74	eV/atom

Lattice parameters (Å, degrees): 5.6354 5.6354 6.8199 116.49 116.49 85.44
With the nearest neighbours (Å) after each atom.
Element x y z (fractional)
Ho  0.9316  0.9316  0.0000  6 Rh 2.81-2.92
Tm  0.5164  0.5164  0.0000  6 Rh 2.72-2.89
Pa  0.1577  0.6577  0.5000  6 Rh 2.77-2.88
Pa  0.6577  0.1577  0.5000  6 Rh 2.77-2.88
Rh  0.0219  0.4140  0.0000  2 Pa 2.79, 2 Ho 2.81-2.92, 2 Tm 2.86-2.89, 1 Rh 3.00
Rh  0.4140  0.0219  0.0000  2 Pa 2.79, 2 Ho 2.81-2.92, 2 Tm 2.86-2.89, 1 Rh 3.00
Rh  0.1642  0.1642  0.5305  1 Tm 2.72, 4 Pa 2.77-2.88, 1 Ho 2.89
Rh  0.6338  0.6338  0.4695  1 Tm 2.72, 4 Pa 2.77-2.88, 1 Ho 2.89


3.
An optimized crystal structure of HoPaZnRh. Source: Alexandria, functional GGA-PBE.

Calculated values
magnetic moment	0.00	Bohr magnetons per cell
energy of formation from the pure elements	-0.34	eV/atom

Lattice parameters (Å, degrees): 4.9332 4.9332 4.9332 60.00 60.00 60.00
With the nearest neighbours (Å) after each atom.
Element x y z (fractional)
Zn  0.0000  0.0000  0.0000  4 Pa 3.02, 4 Ho 3.02
Pa  0.7500  0.7500  0.7500  4 Rh 3.02, 4 Zn 3.02
Rh  0.5000  0.5000  0.5000  4 Ho 3.02, 4 Pa 3.02
Ho  0.2500  0.2500  0.2500  4 Zn 3.02, 4 Rh 3.02


4.
An optimized crystal structure of HoPaRu3. Source: Alexandria, functional GGA-PBE.

Calculated values
magnetic moment	0.00	Bohr magnetons per cell
energy of formation from the pure elements	-0.32	eV/atom

Lattice parameters (Å, degrees): 6.4961 6.4961 6.4961 109.33 126.67 94.12
With the nearest neighbours (Å) after each atom.
Element x y z (fractional)
Ho  0.9908  0.7408  0.7500  5 Ru 2.76-2.94
Ho  0.0092  0.2592  0.2500  5 Ru 2.76-2.94
Pa  0.5000  0.5000  0.0000  6 Ru 2.56-2.69
Pa  0.5000  0.0000  0.5000  6 Ru 2.56-2.69
Ru  0.5000  0.3123  0.3123  2 Pa 2.69, 5 Ru 2.80-2.92, 2 Ho 2.94
Ru  0.0000  0.6877  0.1877  2 Pa 2.69, 5 Ru 2.80-2.92, 2 Ho 2.94
Ru  0.5000  0.6877  0.6877  2 Pa 2.69, 5 Ru 2.80-2.92, 2 Ho 2.94
Ru  0.0000  0.3123  0.8123  2 Pa 2.69, 5 Ru 2.80-2.92, 2 Ho 2.94
Ru  0.6969  0.9469  0.2500  2 Pa 2.56, 1 Ho 2.76, 4 Ru 2.80
Ru  0.3031  0.0531  0.7500  2 Pa 2.56, 1 Ho 2.76, 4 Ru 2.80


5.
An optimized crystal structure of Ho2PaRu2. Source: Alexandria, functional GGA-PBE.

Calculated values
magnetic moment	0.00	Bohr magnetons per cell
excess energy over the best structure of this formula in the dataset	0	meV/atom
energy of formation from the pure elements	-0.50	eV/atom

Lattice parameters (Å, degrees): 5.8336 5.8336 7.8340 80.26 80.26 60.38
With the nearest neighbours (Å) after each atom.
Element x y z (fractional)
Ho  0.4780  0.2188  0.1517  6 Ru 3.09-3.20, 2 Pa 3.42-3.45
Ho  0.7812  0.5220  0.3483  6 Ru 3.09-3.20, 2 Pa 3.42-3.45
Ho  0.5220  0.7812  0.8483  6 Ru 3.09-3.20, 2 Pa 3.42-3.45
Ho  0.2188  0.4780  0.6517  6 Ru 3.09-3.20, 2 Pa 3.42-3.45
Pa  0.1393  0.8607  0.2500  4 Ru 2.47-2.73
Pa  0.8607  0.1393  0.7500  4 Ru 2.47-2.73
Ru  0.7378  0.0036  0.5127  2 Pa 2.47-2.73
Ru  0.9964  0.2622  0.9873  2 Pa 2.47-2.73
Ru  0.2622  0.9964  0.4873  2 Pa 2.47-2.73
Ru  0.0036  0.7378  0.0127  2 Pa 2.47-2.73


6.
An optimized crystal structure of HoPa2Ru. Source: Alexandria, functional GGA-PBE.

Calculated values
magnetic moment	0.00	Bohr magnetons per cell
excess energy over the best structure of this formula in the dataset	0	meV/atom
energy of formation from the pure elements	-0.06	eV/atom

Lattice parameters (Å, degrees): 3.5823 3.5823 7.5684 90.00 90.00 90.00
With the nearest neighbours (Å) after each atom.
Element x y z (fractional)
Ru  0.5000  0.5000  0.0000  8 Pa 2.92
Pa  0.0000  0.0000  0.8084  1 Pa 2.90, 4 Ru 2.92
Pa  0.0000  0.0000  0.1916  1 Pa 2.90, 4 Ru 2.92
Ho  0.5000  0.5000  0.5000  8 Pa 3.44, 4 Ho 3.58, 2 Ru 3.78


7.
An optimized crystal structure of Ho2PaRu. Source: Alexandria, functional GGA-PBE.

Calculated values
magnetic moment	0.00	Bohr magnetons per cell
energy of formation from the pure elements	0.19	eV/atom

Lattice parameters (Å, degrees): 3.2572 3.2572 10.7793 81.31 81.31 60.00
With the nearest neighbours (Å) after each atom.
Element x y z (fractional)
Ru  0.5000  0.5000  0.5000  6 Ho 2.79
Pa  0.0000  0.0000  0.0000  2 Ho 3.24, 6 Pa 3.26
Ho  0.1018  0.1018  0.6945  3 Ru 2.79
Ho  0.8982  0.8982  0.3055  3 Ru 2.79


8.
An optimized crystal structure of Ho2PaRu2. Source: Alexandria, functional GGA-PBE.

Calculated values
magnetic moment	0.00	Bohr magnetons per cell
excess energy over the best structure of this formula in the dataset	43	meV/atom
energy of formation from the pure elements	-0.46	eV/atom

Lattice parameters (Å, degrees): 7.0398 6.6287 10.1661 90.00 98.20 90.00
With the nearest neighbours (Å) after each atom.
Element x y z (fractional)
Ho  0.4329  0.2428  0.0193  3 Ru 2.86-2.98
Ho  0.9329  0.2572  0.0193  3 Ru 2.86-2.98
Ho  0.0671  0.7428  0.9807  3 Ru 2.86-2.98
Ho  0.5671  0.7572  0.9807  3 Ru 2.86-2.98
Ho  0.8810  0.6553  0.2816  5 Ru 2.88-3.13
Ho  0.3810  0.8447  0.2816  5 Ru 2.88-3.13
Ho  0.6190  0.1553  0.7184  5 Ru 2.88-3.13
Ho  0.1190  0.3447  0.7184  5 Ru 2.88-3.13
Pa  0.5006  0.3303  0.3628  2 Ru 2.42-2.53
Pa  0.4994  0.6697  0.6372  2 Ru 2.42-2.53
Pa  0.0006  0.1697  0.3628  2 Ru 2.42-2.53
Pa  0.9994  0.8303  0.6372  2 Ru 2.42-2.53
Ru  0.7244  0.0426  0.1961  1 Pa 2.53
Ru  0.2244  0.4574  0.1961  1 Pa 2.53
Ru  0.7756  0.5426  0.8039  1 Pa 2.53
Ru  0.2756  0.9574  0.8039  1 Pa 2.53
Ru  0.7806  0.4353  0.5125  1 Pa 2.42
Ru  0.2806  0.0647  0.5125  1 Pa 2.42
Ru  0.7194  0.9353  0.4875  1 Pa 2.42
Ru  0.2194  0.5647  0.4875  1 Pa 2.42